<one>
Computed, not measured: crystalline La2BS at its relaxed geometry at the PBE level of DFT.

Its crystal system is tetragonal.

The structure belongs to space group I-42d (No. 122); the cell edges are 7.194, 7.194 and 8.143 Å and the angles 90.00°, 90.00° and 90.00°. The asymmetric unit holds La at (0.217, 0.250, 0.125), B at (0.000, 0.000, 0.000) and S at (0.000, 0.000, 0.500).


<two>
Computed, not measured: crystalline La2BS at its relaxed geometry at the PBE level of DFT.

Its crystal system is cubic.

The structure belongs to space group Fm-3m (No. 225); the cell edges are 7.024, 7.024 and 7.024 Å and the angles 90.00°, 90.00° and 90.00°. The asymmetric unit holds La at (0.250, 0.250, 0.250), B at (0.000, 0.000, 0.000) and S at (0.000, 0.000, 0.500).


Result of the stability comparison: <one> is the most stable of them.